No. 1
First-principles (GGA-PBE) data for a relaxed La2Pu2Tl3 crystal, as listed in the Alexandria database.

Properties
Formation energy, eV per atom: -0.17
ρ, Mg/m³: 11.34
Total magnetization, μB per formula unit: 12.02

Unit cell a=4.8489 b=23.4527 c=3.5504 alpha=90.00 beta=90.00 gamma=90.00
Closest atoms and distances in Å follow each position.
Space group Cmmm (No. 65)
Inequivalent atoms, fractional coordinates:
La: 0.0000 0.0772 0.0000  1 Pu 3.23, 8 Tl 3.51-3.52, 2 La 3.55
Pu: 0.0000 0.2147 0.0000  2 Pu 2.94, 1 La 3.23
Tl: 0.0000 0.3445 0.5000  6 Pu 3.31-3.52, 4 La 3.52, 3 Tl 3.55-3.65
Tl: 0.0000 0.5000 0.5000  8 La 3.51, 4 Tl 3.55-3.65


No. 2
First-principles (GGA-PBE) data for a relaxed K2CdIn4Au3 crystal, as listed in the Alexandria database.

Properties
Formation energy, eV per atom: -0.25
ρ, Mg/m³: 7.41
Total magnetization, μB per formula unit: 0.00

Unit cell a=4.9438 b=4.9438 c=11.3805 alpha=90.00 beta=90.00 gamma=90.00
Closest atoms and distances in Å follow each position.
Space group P-4m2 (No. 115)
Inequivalent atoms, fractional coordinates:
K: 0.0000 0.5000 0.2468  8 In 3.73-3.80, 2 Cd 3.74, 6 Au 3.74-3.79
Cd: 0.5000 0.5000 0.0000  4 In 2.89
In: 0.0000 0.0000 0.5000  4 Au 2.85
In: 0.0000 0.5000 0.8679  3 Au 2.76-2.89, 2 Cd 2.89
In: 0.5000 0.5000 0.5000  4 Au 2.85
Au: 0.0000 0.0000 0.0000  4 In 2.89
Au: 0.0000 0.5000 0.6253  5 In 2.76-2.85


No. 3
First-principles (GGA-PBE) data for a relaxed YFe2Rh crystal, as listed in the Alexandria database.

Properties
Formation energy, eV per atom: 0.24
ρ, Mg/m³: 7.10
Total magnetization, μB per formula unit: 5.50

Unit cell a=3.8234 b=3.8234 c=19.4295 alpha=90.00 beta=90.00 gamma=90.00
Closest atoms and distances in Å follow each position.
Space group I-42d (No. 122)
Inequivalent atoms, fractional coordinates:
Y: 0.0000 0.0000 0.0000  4 Rh 2.70, 4 Fe 2.86
Fe: 0.1948 0.2500 0.6250  2 Fe 2.42, 2 Rh 2.71
Rh: 0.0000 0.0000 0.5000  4 Y 2.70, 4 Fe 2.71


no.,E_tot (Ry per atom)
1,-0.4915
2,-0.1942
3,-0.5471